1.
The following is a DFT calculation (GGA-PBE) of a geometry-optimized TmGa4Sn structure.

Values from the calculation:
offset from the most stable computed form	0.000	eV/f.u.
SG	No. 216
E_form	-218	meV/atom

Cell and atoms, written as POSCAR:
```
TmGa4Sn
1.0
5.5568 0.0000 0.0000
2.7784 4.8123 0.0000
2.7784 1.6041 4.5371
Tm Sn Ga
1 1 4
Direct
0.2500 0.2500 0.2500
0.0000 0.0000 0.0000
0.6248 0.6248 0.1255
0.6248 0.1255 0.6248
0.6248 0.6248 0.6248
0.1255 0.6248 0.6248
```

2.
The following is a DFT calculation (GGA-PBE) of a geometry-optimized Tm2GaSn structure.

Values from the calculation:
SG	No. 166
E_form	-514	meV/atom

Cell and atoms, written as POSCAR:
```
Tm2GaSn
1.0
4.8262 0.0000 0.0000
2.4131 4.1796 0.0000
2.4131 1.3932 5.0084
Tm Sn Ga
2 1 1
Direct
0.7575 0.7575 0.7275
0.2425 0.2425 0.2725
0.0000 0.0000 0.0000
0.5000 0.5000 0.5000
```

3.
The following is a DFT calculation (GGA-PBE) of a geometry-optimized Tm6Ga5Sn structure.

Values from the calculation:
SG	No. 12
E_form	-440	meV/atom

Cell and atoms, written as POSCAR:
```
Tm6Ga5Sn
1.0
-6.3686 -3.8171 -4.6218
0.8854 -6.2111 1.2353
-2.8644 -2.7320 4.8661
Tm Ga Sn
6 5 1
Direct
0.7276 0.0930 0.3504
0.2724 0.5566 0.3504
0.2305 0.2862 0.0000
0.7695 0.7138 0.0000
0.7276 0.4434 0.6496
0.2724 0.9070 0.6496
0.5000 0.1272 0.7457
0.0000 0.3044 0.3911
0.5000 0.5000 0.0000
0.0000 0.6956 0.6089
0.5000 0.8728 0.2543
0.0000 0.0000 0.0000
```